[1]
Below is a relaxed TmH4Rh3 crystal, with properties calculated at the PBE level.

a b c (Å): 5.356 5.356 5.356
angles (deg): 90.00 90.00 90.00
Fractional positions:
H  0.250  0.250  0.250
Tm  0.000  0.000  0.000
H  0.750  0.250  0.250
Rh  0.000  0.500  0.750
Rh  0.750  0.000  0.500
H  0.750  0.750  0.750
H  0.750  0.250  0.750
H  0.250  0.250  0.750
H  0.250  0.750  0.750
H  0.250  0.750  0.250
Rh  0.000  0.500  0.250
Rh  0.500  0.750  0.000
H  0.750  0.750  0.250
Tm  0.500  0.500  0.500
Rh  0.250  0.000  0.500
Rh  0.500  0.250  0.000

Values from the calculation:
SG: Pm-3n (223)
total moment: 0.00 μB/atom
VASP energy: -5.319 eV per atom


[2]
Below is a relaxed TmH6Rh5 crystal, with properties calculated at the PBE level.

a b c (Å): 5.112 6.473 5.212
angles (deg): 53.85 59.60 59.81
Fractional positions:
H  0.037  0.850  0.480
Rh  0.354  0.991  0.342
H  0.481  0.622  0.600
H  0.519  0.378  0.400
Rh  0.151  0.504  0.675
H  0.963  0.150  0.520
H  0.671  0.824  0.065
Tm  0.000  0.000  0.000
Rh  0.500  0.500  0.000
H  0.329  0.176  0.935
Rh  0.849  0.496  0.325
Rh  0.646  0.009  0.658

Values from the calculation:
SG: P-1 (2)
total moment: 0.00 μB/atom
VASP energy: -5.301 eV per atom


[3]
Below is a relaxed Tm4H6Rh7 crystal, with properties calculated at the PBE level.

a b c (Å): 6.707 6.707 6.707
angles (deg): 109.47 109.47 109.47
Fractional positions:
H  0.221  0.000  0.221
Rh  0.500  0.250  0.750
H  0.779  0.779  0.000
Tm  0.000  0.000  0.500
H  0.779  0.000  0.779
Rh  0.250  0.500  0.750
Rh  0.750  0.500  0.250
Tm  0.000  0.500  0.000
Rh  0.250  0.750  0.500
Rh  0.000  0.000  0.000
H  0.000  0.221  0.221
Tm  0.500  0.000  0.000
H  0.000  0.779  0.779
Tm  0.500  0.500  0.500
H  0.221  0.221  0.000
Rh  0.750  0.250  0.500
Rh  0.500  0.750  0.250

Values from the calculation:
SG: Im-3m (229)
total moment: 0.00 μB/atom
VASP energy: -5.551 eV per atom


[4]
Below is a relaxed Tm3H12Rh5 crystal, with properties calculated at the PBE level.

a b c (Å): 9.919 9.919 9.919
angles (deg): 109.47 109.47 109.47
Fractional positions:
Rh  0.250  0.375  0.625
H  0.173  0.086  0.976
H  0.827  0.914  0.024
Rh  0.125  0.375  0.250
H  0.914  0.087  0.890
H  0.890  0.587  0.914
H  0.197  0.524  0.610
Rh  0.625  0.875  0.250
Tm  0.250  0.625  0.875
H  0.413  0.110  0.586
H  0.827  0.913  0.303
Rh  0.500  0.500  0.500
Tm  0.625  0.375  0.750
H  0.197  0.673  0.087
Tm  0.375  0.625  0.250
Rh  0.375  0.125  0.750
Tm  0.250  0.125  0.375
Rh  0.500  0.500  0.000
H  0.586  0.976  0.673
Rh  0.750  0.625  0.375
Tm  0.750  0.875  0.625
Rh  0.875  0.250  0.625
H  0.587  0.890  0.414
H  0.303  0.890  0.976
Rh  0.875  0.625  0.750
H  0.913  0.827  0.803
H  0.610  0.586  0.913
Rh  0.500  0.000  0.500
Tm  0.875  0.125  0.250
H  0.024  0.414  0.827
Rh  0.750  0.125  0.875
H  0.414  0.024  0.327
H  0.587  0.697  0.673
H  0.586  0.610  0.413
H  0.524  0.197  0.110
H  0.414  0.390  0.587
Rh  0.375  0.250  0.125
H  0.610  0.024  0.197
H  0.110  0.413  0.086
H  0.697  0.587  0.173
H  0.390  0.414  0.087
Rh  0.000  0.000  0.000
H  0.024  0.610  0.697
Rh  0.125  0.750  0.375
H  0.914  0.827  0.524
Rh  0.250  0.875  0.125
H  0.673  0.197  0.587
H  0.303  0.413  0.827
H  0.697  0.110  0.024
H  0.327  0.524  0.414
H  0.913  0.086  0.610
H  0.087  0.914  0.390
Tm  0.125  0.875  0.750
Rh  0.000  0.500  0.000
Tm  0.750  0.375  0.125
Rh  0.000  0.000  0.500
H  0.803  0.476  0.390
H  0.413  0.303  0.327
H  0.390  0.976  0.803
H  0.976  0.586  0.173
H  0.976  0.390  0.303
Tm  0.375  0.750  0.625
H  0.087  0.173  0.197
H  0.476  0.803  0.890
H  0.086  0.913  0.110
H  0.086  0.173  0.476
Tm  0.875  0.750  0.125
H  0.327  0.803  0.413
Tm  0.625  0.250  0.375
H  0.673  0.476  0.586
H  0.524  0.327  0.914
Tm  0.125  0.250  0.875
H  0.803  0.327  0.913
Rh  0.000  0.500  0.500
Rh  0.500  0.000  0.000
H  0.173  0.087  0.697
H  0.110  0.697  0.524
H  0.476  0.673  0.086
Rh  0.625  0.750  0.875
H  0.890  0.303  0.476

Values from the calculation:
SG: Ia-3d (230)
total moment: 0.00 μB/atom
VASP energy: -4.911 eV per atom


[5]
Below is a relaxed Tm2H7Rh2 crystal, with properties calculated at the PBE level.

a b c (Å): 3.541 5.701 5.701
angles (deg): 84.44 108.18 108.18
Fractional positions:
H  0.673  0.672  0.672
H  0.821  0.540  0.103
H  0.179  0.897  0.460
Tm  0.500  0.771  0.229
H  0.821  0.103  0.540
H  0.000  0.000  0.000
H  0.327  0.328  0.328
Tm  0.500  0.229  0.771
Rh  0.817  0.318  0.318
H  0.179  0.460  0.897
Rh  0.183  0.682  0.682

Values from the calculation:
SG: C2/m (12)
total moment: 0.00 μB/atom
VASP energy: -4.709 eV per atom


[6]
Below is a relaxed TmH2Rh crystal, with properties calculated at the PBE level.

a b c (Å): 3.806 3.806 4.533
angles (deg): 65.18 65.18 60.00
Fractional positions:
Rh  0.000  0.000  0.000
H  0.140  0.140  0.580
Tm  0.500  0.500  0.500
H  0.860  0.860  0.420

Values from the calculation:
SG: R-3m (166)
total moment: 0.00 μB/atom
VASP energy: -5.162 eV per atom
energy above the lowest structure with this stoichiometry: 89 meV/atom


[7]
Below is a relaxed TmHRh2 crystal, with properties calculated at the PBE level.

a b c (Å): 3.107 3.107 5.997
angles (deg): 90.00 90.00 90.00
Fractional positions:
Rh  0.000  0.000  0.790
Tm  0.500  0.500  0.500
Rh  0.000  0.000  0.210
H  0.500  0.500  0.000

Values from the calculation:
SG: P4/mmm (123)
total moment: 0.00 μB/atom
VASP energy: -5.656 eV per atom
energy above the lowest structure with this stoichiometry: 0 meV/atom


[8]
Below is a relaxed TmHRh crystal, with properties calculated at the PBE level.

a b c (Å): 3.592 3.758 3.758
angles (deg): 120.00 90.00 90.00
Fractional positions:
H  0.166  0.667  0.333
Tm  0.667  0.333  0.667
Rh  0.167  0.000  0.000

Values from the calculation:
SG: P-6m2 (187)
total moment: 0.00 μB/atom
VASP energy: -5.493 eV per atom
energy above the lowest structure with this stoichiometry: 0 meV/atom


[9]
Below is a relaxed TmH3Rh2 crystal, with properties calculated at the PBE level.

a b c (Å): 4.045 4.424 6.980
angles (deg): 91.62 106.84 90.00
Fractional positions:
H  0.049  0.831  0.099
H  0.394  0.759  0.787
Rh  0.079  0.239  0.157
Rh  0.744  0.256  0.489
Rh  0.256  0.744  0.511
Rh  0.921  0.761  0.843
H  0.951  0.169  0.901
H  0.776  0.677  0.552
Tm  0.603  0.743  0.205
H  0.224  0.323  0.448
H  0.606  0.241  0.213
Tm  0.397  0.257  0.795

Values from the calculation:
SG: C2/m (12)
total moment: 0.00 μB/atom
VASP energy: -5.320 eV per atom


[10]
Below is a relaxed U3H12Rh5 crystal, with properties calculated at the PBE level.

a b c (Å): 10.083 10.083 10.083
angles (deg): 109.47 109.47 109.47
Fractional positions:
H  0.411  0.309  0.327
U  0.375  0.750  0.625
H  0.827  0.911  0.309
H  0.589  0.898  0.416
Rh  0.500  0.000  0.000
H  0.191  0.673  0.089
Rh  0.625  0.875  0.250
U  0.250  0.625  0.875
H  0.327  0.518  0.416
U  0.375  0.625  0.250
H  0.916  0.089  0.898
H  0.916  0.827  0.518
H  0.309  0.898  0.982
Rh  0.375  0.125  0.750
H  0.911  0.827  0.809
U  0.625  0.250  0.375
U  0.750  0.375  0.125
H  0.191  0.518  0.602
H  0.673  0.191  0.589
H  0.089  0.916  0.398
H  0.482  0.673  0.084
H  0.173  0.089  0.691
H  0.327  0.809  0.411
H  0.416  0.018  0.327
U  0.125  0.875  0.750
U  0.750  0.875  0.625
Rh  0.750  0.625  0.375
Rh  0.625  0.750  0.875
H  0.102  0.411  0.084
H  0.673  0.482  0.584
Rh  0.875  0.625  0.750
H  0.809  0.482  0.398
H  0.411  0.102  0.584
H  0.691  0.102  0.018
H  0.827  0.916  0.018
Rh  0.125  0.375  0.250
U  0.625  0.375  0.750
Rh  0.500  0.000  0.500
H  0.898  0.589  0.916
H  0.018  0.602  0.691
Rh  0.000  0.500  0.000
H  0.589  0.691  0.673
H  0.602  0.584  0.911
H  0.102  0.691  0.518
H  0.584  0.982  0.673
H  0.482  0.809  0.898
U  0.875  0.750  0.125
H  0.084  0.911  0.102
Rh  0.750  0.125  0.875
Rh  0.250  0.375  0.625
H  0.982  0.398  0.309
Rh  0.875  0.250  0.625
Rh  0.000  0.000  0.000
H  0.398  0.982  0.809
H  0.309  0.411  0.827
Rh  0.500  0.500  0.500
H  0.089  0.173  0.191
U  0.875  0.125  0.250
H  0.911  0.084  0.602
U  0.125  0.250  0.875
Rh  0.125  0.750  0.375
H  0.584  0.602  0.411
H  0.898  0.309  0.482
Rh  0.000  0.500  0.500
H  0.173  0.084  0.982
U  0.250  0.125  0.375
H  0.691  0.589  0.173
H  0.602  0.018  0.191
H  0.398  0.416  0.089
Rh  0.375  0.250  0.125
H  0.416  0.398  0.589
H  0.982  0.584  0.173
H  0.018  0.416  0.827
Rh  0.250  0.875  0.125
H  0.518  0.191  0.102
Rh  0.000  0.000  0.500
H  0.518  0.327  0.916
Rh  0.500  0.500  0.000
H  0.084  0.173  0.482
H  0.809  0.327  0.911

Values from the calculation:
SG: Ia-3d (230)
total moment: 0.44 μB/atom
VASP energy: -5.650 eV per atom


[11]
Below is a relaxed UHRh3 crystal, with properties calculated at the PBE level.

a b c (Å): 4.069 4.069 4.069
angles (deg): 90.00 90.00 90.00
Fractional positions:
H  0.000  0.000  0.000
Rh  0.500  0.000  0.000
Rh  0.000  0.500  0.000
Rh  0.000  0.000  0.500
U  0.500  0.500  0.500

Values from the calculation:
SG: Pm-3m (221)
total moment: 0.06 μB/atom
VASP energy: -7.851 eV per atom


[12]
Below is a relaxed U2HRh6 crystal, with properties calculated at the PBE level.

a b c (Å): 5.717 5.717 5.717
angles (deg): 60.00 60.00 60.00
Fractional positions:
U  0.750  0.750  0.750
U  0.250  0.250  0.250
Rh  0.249  0.752  0.248
Rh  0.751  0.248  0.752
Rh  0.752  0.249  0.248
H  0.500  0.500  0.500
Rh  0.751  0.751  0.249
Rh  0.248  0.751  0.752
Rh  0.249  0.249  0.751

Values from the calculation:
SG: Fm-3m (225)
total moment: 0.00 μB/atom
VASP energy: -8.368 eV per atom


Number 1: density 10.4 Mg/m³. Number 2: density 10.0 Mg/m³. Number 3: density 10.0 Mg/m³. Number 4: density 9.1 Mg/m³. Number 5: density 8.8 Mg/m³. Number 6: density 9.1 Mg/m³. Number 7: density 10.8 Mg/m³. Number 8: density 10.3 Mg/m³. Number 9: density 10.5 Mg/m³. Number 10: density 10.4 Mg/m³. Number 11: density 13.5 Mg/m³. Number 12: density 13.8 Mg/m³.